VASP calculation (PBE) on a geometry-optimized NaSr2MnSb structure.

abc: 6.1615 6.1615 5.2450
angles: 90.00 90.00 90.00
With the nearest neighbours (Å) after each atom.
Space group P4/mmm (No. 123)
Inequivalent atoms, fractional coordinates:
Na 0.0000 0.0000 0.0000  2 Sb 2.62
Sr 0.0000 0.5000 0.0000  2 Na 3.08
Mn 0.5000 0.5000 0.5000  8 Sr 4.05, 4 Sb 4.36
Sb 0.0000 0.0000 0.5000  2 Na 2.62

The energy relative to the elements, uncorrected is 265 kJ/mol of formula units. The calculation puts the magnetization at 4.5 μB/f.u.